[1]
4
Lattice="4.351 0.000 0.000 0.000 4.351 0.000 0.000 0.000 5.671" Properties=species:S:1:pos:R:3 comment="ScTe2Br | Alexandria via LeMat-Bulk | GGA-PBE | optimized geometry" formation_energy_uncorrected_ev_per_atom=-0.41 e_above_lowest_polymorph_mev_per_atom=549 final_energy_ev_per_fu=-15.91 pbc="T T T"
Sc 0.000 0.000 0.000
Te 0.000 2.176 2.836
Te 2.176 0.000 2.836
Br 2.176 2.176 0.000

[2]
4
Lattice="1.745 1.007 9.878 -1.745 1.007 9.878 0.000 -2.015 9.878" Properties=species:S:1:pos:R:3 comment="Sc2TeBr | Alexandria via LeMat-Bulk | GGA-PBE | optimized geometry" formation_energy_uncorrected_ev_per_atom=-0.38 e_above_lowest_polymorph_mev_per_atom=651 final_energy_ev_per_fu=-19.00 pbc="T T T"
Sc 0.000 0.000 2.787
Sc 0.000 0.000 26.846
Te 0.000 0.000 0.000
Br 0.000 0.000 14.816

[3]
4
Lattice="7.152 -1.675 0.000 7.152 1.675 0.000 -3.420 0.000 6.599" Properties=species:S:1:pos:R:3 comment="ScTeBr2 | Alexandria via LeMat-Bulk | GGA-PBE | optimized geometry" formation_energy_uncorrected_ev_per_atom=-1.21 e_above_lowest_polymorph_mev_per_atom=0 final_energy_ev_per_fu=-17.66 pbc="T T T"
Sc 0.000 0.000 0.000
Te 8.391 0.000 2.159
Br 5.114 0.000 0.038
Br 4.793 0.000 4.859

[4]
4
Lattice="3.706 0.000 0.000 0.000 3.820 0.000 -0.015 0.000 6.977" Properties=species:S:1:pos:R:3 comment="Sc2TeBr | Alexandria via LeMat-Bulk | GGA-PBE | optimized geometry" formation_energy_uncorrected_ev_per_atom=-0.87 e_above_lowest_polymorph_mev_per_atom=160 final_energy_ev_per_fu=-20.96 pbc="T T T"
Sc 0.000 0.000 1.574
Sc 3.691 0.000 5.403
Te 1.853 1.910 0.000
Br -0.007 1.910 3.489

[5]
4
Lattice="1.649 0.952 13.025 -1.649 0.952 13.025 0.000 -1.904 13.025" Properties=species:S:1:pos:R:3 comment="ScTe2Br | Alexandria via LeMat-Bulk | GGA-PBE | optimized geometry" formation_energy_uncorrected_ev_per_atom=0.11 e_above_lowest_polymorph_mev_per_atom=1065 final_energy_ev_per_fu=-13.85 pbc="T T T"
Sc 0.000 0.000 0.000
Te 0.000 0.000 2.885
Te 0.000 0.000 36.190
Br 0.000 0.000 19.537

[6]
4
Lattice="3.256 -4.659 0.000 3.256 4.659 0.000 0.000 0.000 3.422" Properties=species:S:1:pos:R:3 comment="ScTeBr2 | Alexandria via LeMat-Bulk | GGA-PBE | optimized geometry" formation_energy_uncorrected_ev_per_atom=-0.23 e_above_lowest_polymorph_mev_per_atom=977 final_energy_ev_per_fu=-13.75 pbc="T T T"
Sc 0.000 0.000 0.000
Te 3.256 0.000 0.000
Br 1.628 2.330 1.711
Br 1.628 -2.330 1.711

[7]
8
Lattice="-3.137 3.137 6.422 3.137 -3.137 6.422 3.137 3.137 -6.422" Properties=species:S:1:pos:R:3 comment="Sc2TeBr | Alexandria via LeMat-Bulk | GGA-PBE | optimized geometry" formation_energy_uncorrected_ev_per_atom=-0.61 e_above_lowest_polymorph_mev_per_atom=422 final_energy_ev_per_fu=-19.91 pbc="T T T"
Sc 4.705 1.450 -1.605
Sc 1.450 1.568 1.605
Sc -1.568 1.687 4.816
Sc 1.687 1.568 8.027
Te 3.137 0.000 3.211
Te 0.000 0.000 6.422
Br 0.000 0.000 0.000
Br 0.000 3.137 3.211

[8]
4
Lattice="3.567 0.000 0.000 0.000 3.567 0.000 0.000 0.000 7.126" Properties=species:S:1:pos:R:3 comment="Sc2TeBr | Alexandria via LeMat-Bulk | GGA-PBE | optimized geometry" formation_energy_uncorrected_ev_per_atom=-0.81 e_above_lowest_polymorph_mev_per_atom=221 final_energy_ev_per_fu=-20.72 pbc="T T T"
Sc 0.000 0.000 1.672
Sc 0.000 0.000 5.454
Te 1.784 1.784 0.000
Br 1.784 1.784 3.563

What is the formula in the fourth record?
Sc2TeBr